Below is Al2AgPtW after structural relaxation, with properties calculated at the PBE-GGA level.

Computed properties:
* calculated formation energy: 19.61 kcal/mol of atoms
* D(E_F): 2.21 states/eV/f.u.
* E: -5.016 eV/atom

a b c (Å): 4.9002 4.7988 4.9002
angles (deg): 90.00 90.00 90.00
Closest atoms and distances in Å follow each position.
Atoms (fractional coordinates):
Pt 0.0000 0.5000 0.0000  2 W 2.40
Al 0.5000 0.0000 0.0000  2 W 2.45
Al 0.0000 0.0000 0.5000  2 W 2.45
Ag 0.5000 0.5000 0.5000  8 Al 3.43, 4 Pt 3.46
W 0.0000 0.0000 0.0000  2 Pt 2.40, 4 Al 2.45